Sr3Cd2Au4: optimized geometry, PBE.

a b c (Å): 4.8283 6.3409 9.3282
angles (deg): 110.91 90.00 112.38
Positions (direct):
Sr (0.3616, 0.7231, 0.3068)
Sr (0.0000, 0.0000, 0.0000)
Sr (0.6384, 0.2769, 0.6932)
Au (0.2778, 0.5556, 0.9351)
Au (0.7222, 0.4444, 0.0649)
Au (0.9201, 0.8401, 0.5848)
Au (0.0799, 0.1599, 0.4152)
Cd (0.3370, 0.6739, 0.6683)
Cd (0.6630, 0.3261, 0.3317)

Output
Energy relative to the elements (eV/atom): -0.64
Crystal system: monoclinic
Electronic total energy (eV for the cell shown): -25.8
ρ (g/cm3): 8.69
D(E_F) (states/eV/f.u.): 3.568
Calculated volume (Å³ per cell): 243.6



Nd3CdTe2: optimized geometry, PBE.

a b c (Å): 4.3757 6.3583 7.9180
angles (deg): 113.67 106.06 90.00
Positions (direct):
Nd (0.1698, 0.1696, 0.3392)
Nd (0.8302, 0.8304, 0.6608)
Nd (0.5000, 0.5000, 0.0000)
Cd (0.5000, 0.0000, 0.0000)
Te (0.1661, 0.6661, 0.3322)
Te (0.8339, 0.3339, 0.6678)

Output
Crystal system: orthorhombic
Electronic total energy (eV for the cell shown): -27.7
ρ (g/cm3): 6.91
D(E_F) (states/eV/f.u.): 4.045
ΔE_f (raw) (eV per formula unit): -6.20
Calculated volume (Å³ per cell): 192.3



Np2CoGe4Ir3: optimized geometry, PBE.

a b c (Å): 4.1808 4.1808 10.1610
angles (deg): 90.00 90.00 90.00
Last column: magnetic moment on the atom in μB.
Positions (direct):
Ge (0.5000, 0.5000, 0.0000)  -0.01
Ge (0.5000, 0.0000, 0.6263)  -0.02
Ge (0.0000, 0.0000, 0.0000)  -0.01
Ge (0.0000, 0.5000, 0.3737)  -0.02
Ir (0.5000, 0.0000, 0.8662)  -0.12
Ir (0.0000, 0.0000, 0.5000)  -0.03
Ir (0.0000, 0.5000, 0.1338)  -0.12
Np (0.5000, 0.0000, 0.2498)  3.67
Np (0.0000, 0.5000, 0.7502)  3.67
Co (0.5000, 0.5000, 0.5000)  0.06

Output
Energy relative to the elements (eV/atom): -0.37
Crystal system: tetragonal
Electronic total energy (eV for the cell shown): -81.7
ρ (g/cm3): 13.09
D(E_F) (states/eV/f.u.): 22.773
Calculated volume (Å³ per cell): 177.6



Mg2IrOs: optimized geometry, PBE.

a b c (Å): 4.0758 3.9219 3.9219
angles (deg): 90.00 90.00 90.00
Last column: magnetic moment on the atom in μB.
Positions (direct):
Mg (0.0000, 0.5000, 0.5000)  -0.01
Mg (0.0000, 0.0000, 0.0000)  -0.01
Os (0.5000, 0.5000, 0.0000)  0.74
Ir (0.5000, 0.0000, 0.5000)  0.33

Output
Energy relative to the elements (eV/atom): 0.12
Energy relative to the lowest polymorph listed for this composition (eV/atom): 0.194
Crystal system: tetragonal
Electronic total energy (eV for the cell shown): -22.8
ρ (g/cm3): 11.42
D(E_F) (states/eV/f.u.): 4.522
Calculated volume (Å³ per cell): 62.7



TcOs3: optimized geometry, PBE.

a b c (Å): 4.7004 4.7004 4.7004
angles (deg): 90.00 90.00 90.00
Last column: magnetic moment on the atom in μB.
Positions (direct):
Tc (0.0000, 0.0000, 0.0000)  -0.08
Os (0.5000, 0.0000, 0.0000)  0.92
Os (0.0000, 0.5000, 0.0000)  0.92
Os (0.0000, 0.0000, 0.5000)  0.92

Output
Energy relative to the elements (eV/atom): 3.10
Energy relative to the lowest polymorph listed for this composition (eV/atom): 3.173
Crystal system: cubic
Electronic total energy (eV for the cell shown): -31.7
ρ (g/cm3): 10.69
D(E_F) (states/eV/f.u.): 6.320
Calculated volume (Å³ per cell): 103.9



FeBi2Os: optimized geometry, PBE.

a b c (Å): 4.7678 4.7678 4.7678
angles (deg): 60.00 60.00 60.00
Positions (direct):
Os (0.5000, 0.5000, 0.5000)
Bi (0.7500, 0.7500, 0.7500)
Bi (0.2500, 0.2500, 0.2500)
Fe (0.0000, 0.0000, 0.0000)

Output
Energy relative to the elements (eV/atom): 0.95
Energy relative to the lowest polymorph listed for this composition (eV/atom): 0.000
Crystal system: cubic
Electronic total energy (eV for the cell shown): -23.7
ρ (g/cm3): 14.39
D(E_F) (states/eV/f.u.): 6.839
Calculated volume (Å³ per cell): 76.6



NbSeBr2O: optimized geometry, PBE.

a b c (Å): 4.6338 4.6338 4.4290
angles (deg): 90.00 90.00 90.00
Positions (direct):
O (0.0000, 0.0000, 0.0000)
Br (0.5000, 0.0000, 0.0000)
Br (0.0000, 0.5000, 0.0000)
Se (0.0000, 0.0000, 0.5000)
Nb (0.5000, 0.5000, 0.5000)

Output
Energy relative to the lowest polymorph listed for this composition (eV/atom): 0.649
Crystal system: tetragonal
Electronic total energy (eV for the cell shown): -17.8
ρ (g/cm3): 6.07
D(E_F) (states/eV/f.u.): 7.934
ΔE_f (raw) (eV per formula unit): 4.02
Calculated volume (Å³ per cell): 95.1



GaBI2N: optimized geometry, PBE.

a b c (Å): 6.7315 6.7315 2.8137
angles (deg): 90.00 90.00 90.00
Positions (direct):
B (0.0000, 0.0000, 0.0000)
N (0.0000, 0.0000, 0.5000)
Ga (0.5000, 0.5000, 0.5000)
I (0.0000, 0.5000, 0.0000)
I (0.5000, 0.0000, 0.0000)

Output
Energy relative to the lowest polymorph listed for this composition (eV/atom): 0.000
Crystal system: tetragonal
Electronic total energy (eV for the cell shown): -21.0
ρ (g/cm3): 4.54
D(E_F) (states/eV/f.u.): 0.835
ΔE_f (raw) (eV per formula unit): 0.16
Calculated volume (Å³ per cell): 127.5



> What is the D(E_F) in the second record?

4.045 states/eV/f.u.



> Look up the D(E_F) of the sixth one.

6.839 states/eV/f.u.